A plane-wave DFT calculation with PBE was carried out for a relaxed InMoIr2 crystal.

Computed properties:
Electronic total energy in eV per formula unit: -30.97
Total magnetic moment in μB per formula unit: 0.00
Formation energy from the elements in meV per atom: 81
Calculated volume in Å³ per cell: 129.3

Cell: 9.276 2.836 4.977 Å, 90.00 99.00 90.00°
Fractional positions:
1 In 0.000 0.000 0.000
2 In 0.500 0.500 0.000
3 Mo 0.000 0.500 0.500
4 Mo 0.500 0.000 0.500
5 Ir 0.246 0.000 0.733
6 Ir 0.254 0.500 0.267
7 Ir 0.746 0.500 0.733
8 Ir 0.754 0.000 0.267